No. 1
NbTlCuTcTe PBE relaxed; M_tot = 0.0 Bohr magnetons per cell; E_form (uncorrected) = 0.65 eV per formula unit; mass density = 8.91 g/cm³; uncorrected energy = -0.2160 hartree per atom; excess energy over the best structure of this formula in the dataset = 0.032 eV per atom; DOS(E_F) = 6.03 states/eV/cell
1.0
20.5855 0.0000 0.0000
0.0000 3.2398 0.0000
-0.0325 0.0000 3.2773
Nb Tl Cu Tc Te
2 2 2 2 2
direct
0.0000 0.0000 0.0000 Nb
0.5000 0.5000 0.0000 Nb
0.3337 0.5000 0.9908 Tl
0.8337 0.0000 0.9908 Tl
0.4281 0.0000 0.4963 Cu
0.9281 0.5000 0.4963 Cu
0.0654 0.5000 0.5014 Tc
0.5654 0.0000 0.5014 Tc
0.1720 0.0000 0.5020 Te
0.6720 0.5000 0.5020 Te



No. 2
EuSnHgGe PBE relaxed; M_tot = 28.2 Bohr magnetons per cell; mass density = 8.68 g/cm³; calculated formation energy = -297.0 meV/atom; uncorrected energy = -0.1873 hartree per atom; DOS(E_F) = 9.19 states/eV/cell
1.0
7.4663 0.0000 0.0000
0.0000 7.4663 0.0000
0.0000 0.0000 7.4663
Eu Sn Hg Ge
4 4 4 4
direct
0.0000 0.0000 0.0000 Eu
0.0000 0.5000 0.5000 Eu
0.5000 0.0000 0.5000 Eu
0.5000 0.5000 0.0000 Eu
0.0000 0.0000 0.5000 Sn
0.0000 0.5000 0.0000 Sn
0.5000 0.0000 0.0000 Sn
0.5000 0.5000 0.5000 Sn
0.2500 0.2500 0.2500 Hg
0.2500 0.7500 0.7500 Hg
0.7500 0.2500 0.7500 Hg
0.7500 0.7500 0.2500 Hg
0.2500 0.2500 0.7500 Ge
0.2500 0.7500 0.2500 Ge
0.7500 0.2500 0.2500 Ge
0.7500 0.7500 0.7500 Ge



No. 3
Mg2Ga2Rh3 PBE relaxed; M_tot = 0.0 Bohr magnetons per cell; mass density = 7.45 g/cm³; calculated formation energy = -565.5 meV/atom; uncorrected energy = -0.1851 hartree per atom; DOS(E_F) = 6.74 states/eV/cell
1.0
7.6155 0.0000 0.0000
0.0000 4.3835 0.0000
-3.7275 0.0000 6.6355
Mg Ga Rh
4 4 6
direct
0.1015 0.0000 0.3628 Mg
0.3985 0.5000 0.6372 Mg
0.6015 0.5000 0.3628 Mg
0.8985 0.0000 0.6372 Mg
0.1784 0.5000 0.8767 Ga
0.3216 0.0000 0.1233 Ga
0.6784 0.0000 0.8767 Ga
0.8216 0.5000 0.1233 Ga
0.0000 0.5000 0.5000 Rh
0.1988 0.5000 0.2150 Rh
0.3012 0.0000 0.7850 Rh
0.5000 0.0000 0.5000 Rh
0.6988 0.0000 0.2150 Rh
0.8012 0.5000 0.7850 Rh



No. 4
KBa2NaAu PBE relaxed; M_tot = 0.0 Bohr magnetons per cell; mass density = 3.46 g/cm³; calculated formation energy = -233.9 meV/atom; uncorrected energy = -0.0787 hartree per atom; excess energy over the best structure of this formula in the dataset = 0.000 eV per atom; DOS(E_F) = 2.95 states/eV/cell
1.0
6.4661 0.0000 0.0000
0.0000 6.4661 0.0000
0.0000 0.0000 6.1191
K Ba Na Au
1 2 1 1
direct
0.0000 0.0000 0.0000 K
0.0000 0.5000 0.5000 Ba
0.5000 0.0000 0.5000 Ba
0.5000 0.5000 0.0000 Na
0.5000 0.5000 0.5000 Au



No. 5
Ce2SnCl11 PBE relaxed; M_tot = 1.9 Bohr magnetons per cell; E_form (uncorrected) = -20.71 eV per formula unit; mass density = 2.85 g/cm³; uncorrected energy = -0.1493 hartree per atom
1.0
-5.2414 6.4233 6.8309
5.2414 -6.4233 6.8309
5.2414 6.4233 -6.8309
Ce Sn Cl
4 2 22
direct
0.1944 0.1588 0.3532 Ce
0.3056 0.6588 0.9644 Ce
0.6944 0.3412 0.0356 Ce
0.8056 0.8412 0.6468 Ce
0.2500 0.7500 0.5000 Sn
0.7500 0.2500 0.5000 Sn
0.0000 0.0000 0.0000 Cl
0.0333 0.4662 0.7786 Cl
0.0496 0.8609 0.6435 Cl
0.1877 0.9662 0.4329 Cl
0.1941 0.8896 0.0836 Cl
0.2175 0.4061 0.3565 Cl
0.2825 0.6391 0.1887 Cl
0.3059 0.3896 0.6955 Cl
0.3123 0.7453 0.7786 Cl
0.4504 0.0939 0.8113 Cl
0.4667 0.2453 0.4329 Cl
0.5000 0.5000 0.0000 Cl
0.5333 0.7547 0.5671 Cl
0.5496 0.9061 0.1887 Cl
0.6877 0.2547 0.2214 Cl
0.6941 0.6104 0.3045 Cl
0.7175 0.3609 0.8113 Cl
0.7825 0.5939 0.6435 Cl
0.8059 0.1104 0.9164 Cl
0.8123 0.0338 0.5671 Cl
0.9504 0.1391 0.3565 Cl
0.9667 0.5338 0.2214 Cl



No. 6
Th6Tl2Co PBE relaxed; M_tot = 0.0 Bohr magnetons per cell; mass density = 11.63 g/cm³; calculated formation energy = -81.1 meV/atom; uncorrected energy = -0.2331 hartree per atom; DOS(E_F) = 24.86 states/eV/cell
1.0
6.9058 0.0000 0.0000
0.0000 6.9073 0.0000
-6.8982 0.0000 11.1371
Th Tl Co
12 4 2
direct
0.1818 0.2150 0.9998 Th
0.1818 0.2850 0.4998 Th
0.2596 0.5006 0.2590 Th
0.2596 0.9994 0.7590 Th
0.2849 0.6822 0.9999 Th
0.2849 0.8178 0.4999 Th
0.7151 0.1822 0.5001 Th
0.7151 0.3178 0.0001 Th
0.7404 0.0006 0.2410 Th
0.7404 0.4994 0.7410 Th
0.8182 0.7150 0.5002 Th
0.8182 0.7850 0.0002 Th
0.2495 0.0008 0.2501 Tl
0.2495 0.4992 0.7501 Tl
0.7505 0.5008 0.2499 Tl
0.7505 0.9992 0.7499 Tl
0.5000 0.0000 0.0000 Co
0.5000 0.5000 0.5000 Co



No. 7
Fe5Co2Mo2W PBE relaxed; M_tot = 13.5 Bohr magnetons per cell; mass density = 10.20 g/cm³; calculated formation energy = 170.7 meV/atom; uncorrected energy = -0.3287 hartree per atom; DOS(E_F) = 19.17 states/eV/cell
1.0
8.1645 0.0000 0.0000
0.0000 8.1645 0.0000
0.0000 0.0000 3.7765
Fe Co Mo W
10 4 4 2
direct
0.0000 0.5000 0.0000 Fe
0.0642 0.2053 0.0000 Fe
0.2053 0.9358 0.0000 Fe
0.2947 0.4358 0.0000 Fe
0.4358 0.7053 0.0000 Fe
0.5000 0.0000 0.0000 Fe
0.5642 0.2947 0.0000 Fe
0.7053 0.5642 0.0000 Fe
0.7947 0.0642 0.0000 Fe
0.9358 0.7947 0.0000 Fe
0.1255 0.3745 0.5000 Co
0.3745 0.8745 0.5000 Co
0.6255 0.1255 0.5000 Co
0.8745 0.6255 0.5000 Co
0.1706 0.6706 0.5000 Mo
0.3294 0.1706 0.5000 Mo
0.6706 0.8294 0.5000 Mo
0.8294 0.3294 0.5000 Mo
0.0000 0.0000 0.5000 W
0.5000 0.5000 0.5000 W



No. 8
Co2AgSb PBE relaxed; M_tot = 0.0 Bohr magnetons per cell; E_form (uncorrected) = 2.32 eV per formula unit; mass density = 8.85 g/cm³; uncorrected energy = -0.1733 hartree per atom; DOS(E_F) = 17.01 states/eV/cell
1.0
6.9191 0.0000 0.0000
0.0000 6.9191 0.0000
0.0000 0.0000 5.4469
Co Ag Sb
8 4 4
direct
0.2308 0.2500 0.1250 Co
0.2500 0.7308 0.3750 Co
0.2500 0.7692 0.8750 Co
0.2692 0.2500 0.6250 Co
0.7308 0.7500 0.6250 Co
0.7500 0.2308 0.8750 Co
0.7500 0.2692 0.3750 Co
0.7692 0.7500 0.1250 Co
0.0000 0.0000 0.5000 Ag
0.0000 0.5000 0.7500 Ag
0.5000 0.0000 0.2500 Ag
0.5000 0.5000 0.0000 Ag
0.0000 0.0000 0.0000 Sb
0.0000 0.5000 0.2500 Sb
0.5000 0.0000 0.7500 Sb
0.5000 0.5000 0.5000 Sb



No. 9
PaAlTcRu PBE relaxed; M_tot = 0.0 Bohr magnetons per cell; mass density = 10.96 g/cm³; calculated formation energy = -484.1 meV/atom; uncorrected energy = -0.3199 hartree per atom; excess energy over the best structure of this formula in the dataset = 0.070 eV per atom; DOS(E_F) = 7.70 states/eV/cell
1.0
6.5193 0.0000 0.0000
0.0000 6.5193 0.0000
0.0000 0.0000 6.5193
Pa Al Tc Ru
4 4 4 4
direct
0.0000 0.0000 0.0000 Pa
0.0000 0.5000 0.5000 Pa
0.5000 0.0000 0.5000 Pa
0.5000 0.5000 0.0000 Pa
0.0000 0.0000 0.5000 Al
0.0000 0.5000 0.0000 Al
0.5000 0.0000 0.0000 Al
0.5000 0.5000 0.5000 Al
0.2500 0.2500 0.7500 Tc
0.2500 0.7500 0.2500 Tc
0.7500 0.2500 0.2500 Tc
0.7500 0.7500 0.7500 Tc
0.2500 0.2500 0.2500 Ru
0.2500 0.7500 0.7500 Ru
0.7500 0.2500 0.7500 Ru
0.7500 0.7500 0.2500 Ru



No. 10
V4CoMo PBE relaxed; M_tot = 0.0 Bohr magnetons per cell; mass density = 6.37 g/cm³; calculated formation energy = 554.6 meV/atom; uncorrected energy = -0.3129 hartree per atom; excess energy over the best structure of this formula in the dataset = 0.623 eV per atom; DOS(E_F) = 12.01 states/eV/cell
1.0
7.0962 0.0000 0.0000
0.0000 4.0867 0.0000
-2.3388 0.0000 6.4467
V Co Mo
8 2 2
direct
0.1200 0.0000 0.3591 V
0.1334 0.5000 0.8995 V
0.3666 0.0000 0.1005 V
0.3800 0.5000 0.6409 V
0.6200 0.5000 0.3591 V
0.6334 0.0000 0.8995 V
0.8666 0.5000 0.1005 V
0.8800 0.0000 0.6409 V
0.0000 0.0000 0.0000 Co
0.5000 0.5000 0.0000 Co
0.0000 0.5000 0.5000 Mo
0.5000 0.0000 0.5000 Mo



No. 11
CsSrLi4 PBE relaxed; M_tot = 0.7 Bohr magnetons per cell; mass density = 1.88 g/cm³; calculated formation energy = 146.7 meV/atom; uncorrected energy = -0.0570 hartree per atom; DOS(E_F) = 4.90 states/eV/cell
1.0
0.0000 4.7846 4.7846
4.7846 0.0000 4.7846
4.7846 4.7846 0.0000
Cs Sr Li
1 1 4
direct
0.0000 0.0000 0.0000 Cs
0.2500 0.2500 0.2500 Sr
0.1383 0.6206 0.6206 Li
0.6206 0.1383 0.6206 Li
0.6206 0.6206 0.1383 Li
0.6206 0.6206 0.6206 Li



No. 12
TaFeAg2 PBE relaxed; M_tot = 4.1 Bohr magnetons per cell; mass density = 11.38 g/cm³; calculated formation energy = 218.0 meV/atom; uncorrected energy = -0.2310 hartree per atom; excess energy over the best structure of this formula in the dataset = 0.000 eV per atom; DOS(E_F) = 6.04 states/eV/cell
1.0
3.3724 0.0000 0.0000
0.0000 4.4484 0.0000
0.0000 0.0000 8.8009
Ta Fe Ag
2 2 4
direct
0.0000 0.0000 0.0000 Ta
0.5000 0.5000 0.0000 Ta
0.0000 0.5000 0.2185 Fe
0.5000 0.0000 0.2185 Fe
0.0000 0.0000 0.4604 Ag
0.0000 0.5000 0.7283 Ag
0.5000 0.0000 0.7283 Ag
0.5000 0.5000 0.4604 Ag



No. 13
PrNd2PuP4 PBE relaxed; M_tot = 4.9 Bohr magnetons per cell; mass density = 6.63 g/cm³; calculated formation energy = -1417.0 meV/atom; uncorrected energy = -0.2831 hartree per atom; DOS(E_F) = 12.85 states/eV/cell
1.0
7.1509 0.0000 0.0000
0.0000 4.1387 0.0000
-2.3849 0.0000 6.7435
Pr Nd Pu P
1 2 1 4
direct
0.0000 0.0000 0.0000 Pr
0.5000 0.0000 0.5000 Nd
0.5000 0.5000 0.0000 Nd
0.0000 0.5000 0.5000 Pu
0.2404 0.0000 0.7389 P
0.2462 0.5000 0.2567 P
0.7538 0.5000 0.7433 P
0.7596 0.0000 0.2611 P



No. 14
Li7GaHg2 PBE relaxed; M_tot = 0.0 Bohr magnetons per cell; mass density = 4.75 g/cm³; calculated formation energy = -204.9 meV/atom; uncorrected energy = -0.0701 hartree per atom; excess energy over the best structure of this formula in the dataset = 0.000 eV per atom; DOS(E_F) = 1.92 states/eV/cell
1.0
4.5313 0.0000 0.0000
-2.2657 3.9242 0.0000
0.0000 0.0000 10.2188
Li Ga Hg
7 1 2
direct
0.0000 0.0000 0.0000 Li
0.0000 0.0000 0.2386 Li
0.0000 0.0000 0.4848 Li
0.3333 0.6667 0.0587 Li
0.3333 0.6667 0.6364 Li
0.6667 0.3333 0.4298 Li
0.6667 0.3333 0.8555 Li
0.6667 0.3333 0.1530 Ga
0.0000 0.0000 0.7427 Hg
0.3333 0.6667 0.3337 Hg



No. 15
Ac15La4Tb PBE relaxed; M_tot = 0.0 Bohr magnetons per cell; mass density = 8.00 g/cm³; calculated formation energy = 25.7 meV/atom; uncorrected energy = -0.1570 hartree per atom; DOS(E_F) = 40.14 states/eV/cell
1.0
5.5560 0.0000 0.0000
0.0000 5.5560 0.0000
0.0000 0.0000 27.7166
Ac La Tb
15 4 1
direct
0.0000 0.0000 0.0000 Ac
0.0000 0.0000 0.1982 Ac
0.0000 0.0000 0.3995 Ac
0.0000 0.0000 0.6005 Ac
0.0000 0.0000 0.8018 Ac
0.0000 0.5000 0.0980 Ac
0.0000 0.5000 0.2990 Ac
0.0000 0.5000 0.5000 Ac
0.0000 0.5000 0.7010 Ac
0.0000 0.5000 0.9020 Ac
0.5000 0.0000 0.0980 Ac
0.5000 0.0000 0.2990 Ac
0.5000 0.0000 0.5000 Ac
0.5000 0.0000 0.7010 Ac
0.5000 0.0000 0.9020 Ac
0.5000 0.5000 0.1986 La
0.5000 0.5000 0.3995 La
0.5000 0.5000 0.6005 La
0.5000 0.5000 0.8014 La
0.5000 0.5000 0.0000 Tb



No. 16
BaSrSi3 PBE relaxed; M_tot = 0.0 Bohr magnetons per cell; E_form (uncorrected) = -1.45 eV per formula unit; mass density = 3.42 g/cm³; uncorrected energy = -0.1567 hartree per atom; excess energy over the best structure of this formula in the dataset = 0.000 eV per atom; DOS(E_F) = 2.87 states/eV/cell
1.0
4.4888 -7.3984 0.0000
4.4888 7.3984 0.0000
0.0000 0.0000 4.5206
Ba Sr Si
2 2 6
direct
0.0000 0.0000 0.0000 Ba
0.5000 0.5000 0.0000 Ba
0.0000 0.5000 0.0000 Sr
0.5000 0.0000 0.0000 Sr
0.1503 0.3142 0.5000 Si
0.1648 0.8352 0.5000 Si
0.3142 0.1503 0.5000 Si
0.6858 0.8497 0.5000 Si
0.8352 0.1648 0.5000 Si
0.8497 0.6858 0.5000 Si



No. 17
SrTl2In3F12 PBE relaxed; M_tot = 0.0 Bohr magnetons per cell; E_form (uncorrected) = -45.17 eV per formula unit; mass density = 4.99 g/cm³; uncorrected energy = -0.1679 hartree per atom; DOS(E_F) = 3.55 states/eV/cell
1.0
4.1109 2.3734 6.0810
-4.1109 2.3734 6.0810
0.0000 -4.7468 6.0810
Sr Tl In F
1 2 3 12
direct
0.0000 0.0000 0.0000 Sr
0.3631 0.3631 0.3631 Tl
0.6369 0.6369 0.6369 Tl
0.0000 0.0000 0.5000 In
0.0000 0.5000 0.0000 In
0.5000 0.0000 0.0000 In
0.0936 0.7229 0.7229 F
0.1203 0.1203 0.6107 F
0.1203 0.6107 0.1203 F
0.2771 0.2771 0.9064 F
0.2771 0.9064 0.2771 F
0.3893 0.8797 0.8797 F
0.6107 0.1203 0.1203 F
0.7229 0.0936 0.7229 F
0.7229 0.7229 0.0936 F
0.8797 0.3893 0.8797 F
0.8797 0.8797 0.3893 F
0.9064 0.2771 0.2771 F



No. 18
LiPu3O8 PBE relaxed; M_tot = 9.0 Bohr magnetons per cell; E_form (uncorrected) = -30.84 eV per formula unit; mass density = 7.13 g/cm³; uncorrected energy = -0.3535 hartree per atom; DOS(E_F) = 13.28 states/eV/cell
1.0
3.4518 1.9929 4.8913
-3.4518 1.9929 4.8913
0.0000 -3.9858 4.8913
Li Pu O
1 3 8
direct
0.0000 0.0000 0.0000 Li
0.0000 0.0000 0.5000 Pu
0.0000 0.5000 0.0000 Pu
0.5000 0.0000 0.0000 Pu
0.1783 0.7667 0.7667 O
0.2333 0.2333 0.8217 O
0.2333 0.8217 0.2333 O
0.2364 0.2364 0.2364 O
0.7636 0.7636 0.7636 O
0.7667 0.1783 0.7667 O
0.7667 0.7667 0.1783 O
0.8217 0.2333 0.2333 O



No. 19
K2U2Se5 PBE relaxed; M_tot = 4.0 Bohr magnetons per cell; E_form (uncorrected) = -10.72 eV per formula unit; mass density = 5.43 g/cm³; uncorrected energy = -0.2161 hartree per atom; excess energy over the best structure of this formula in the dataset = 0.057 eV per atom; DOS(E_F) = 17.13 states/eV/cell
1.0
7.2678 -2.7996 0.0000
7.2678 2.7996 0.0000
-4.7953 0.0000 7.1267
K U Se
2 2 5
direct
0.1231 0.1231 0.4608 K
0.8769 0.8769 0.5392 K
0.3926 0.3926 0.1031 U
0.6074 0.6074 0.8969 U
0.1503 0.1503 0.9113 Se
0.3815 0.3815 0.7703 Se
0.5000 0.5000 0.5000 Se
0.6185 0.6185 0.2297 Se
0.8497 0.8497 0.0887 Se



No. 20
Mn2BeNbOs PBE relaxed; M_tot = 3.3 Bohr magnetons per cell; mass density = 9.98 g/cm³; calculated formation energy = 586.7 meV/atom; uncorrected energy = -0.2972 hartree per atom; DOS(E_F) = 4.78 states/eV/cell
1.0
3.9119 0.0000 0.0000
0.0000 3.9119 0.0000
0.0000 0.0000 4.3732
Mn Be Nb Os
2 1 1 1
direct
0.0000 0.5000 0.0000 Mn
0.5000 0.0000 0.0000 Mn
0.0000 0.0000 0.0000 Be
0.0000 0.0000 0.5000 Nb
0.5000 0.5000 0.5000 Os



No. 21
Cr2NiSe4 PBE relaxed; M_tot = 9.5 Bohr magnetons per cell; E_form (uncorrected) = -3.01 eV per formula unit; mass density = 6.21 g/cm³; uncorrected energy = -0.2204 hartree per atom; DOS(E_F) = 8.32 states/eV/cell
1.0
12.7123 0.0000 0.0000
0.0000 3.6138 0.0000
-2.9304 0.0000 5.5728
Cr Ni Se
4 2 8
direct
0.2409 0.0000 0.2198 Cr
0.2591 0.5000 0.7802 Cr
0.7409 0.5000 0.2198 Cr
0.7591 0.0000 0.7802 Cr
0.0000 0.5000 0.5000 Ni
0.5000 0.0000 0.5000 Ni
0.1167 0.5000 0.9495 Se
0.1320 0.0000 0.4744 Se
0.3680 0.5000 0.5256 Se
0.3833 0.0000 0.0505 Se
0.6167 0.0000 0.9495 Se
0.6320 0.5000 0.4744 Se
0.8680 0.0000 0.5256 Se
0.8833 0.5000 0.0505 Se